Entry 1:
VASP calculation (SCAN) on a crystal of Sr2TlAs relaxed with PBEsol.

The space group is Fm-3m, No. 225. As for the energy above the most stable polymorph in this dataset: 0.015 eV per atom. The calculation puts the formation enthalpy at 0 K at -719.0 meV/atom. For the density of states at the Fermi level, the calculation gives 0.723 states/eV/atom.

Lattice parameters (Å, degrees): 5.503 5.503 5.503 60.00 60.00 60.00
Sites, in units of the cell vectors:
As (0.000, 0.000, 0.000)
Sr (0.250, 0.250, 0.250)
Sr (0.750, 0.750, 0.750)
Tl (0.500, 0.500, 0.500)

Entry 2:
VASP calculation (SCAN) on a crystal of SrTl2As2 relaxed with PBEsol.

The space group is I4/mmm, No. 139. The calculation puts the formation enthalpy at 0 K at -430.2 meV/atom. For the density of states at the Fermi level, the calculation gives 0.383 states/eV/atom.

Lattice parameters (Å, degrees): 4.453 4.453 7.645 106.93 106.93 90.00
Sites, in units of the cell vectors:
Tl (0.750, 0.250, 0.500)
Tl (0.250, 0.750, 0.500)
As (0.588, 0.588, 0.176)
As (0.412, 0.412, 0.824)
Sr (0.000, 0.000, 0.000)

Q: Which of these has the lowest formation enthalpy at 0 K?
A: Sr2TlAs

What did the second record say?
VASP calculation (SCAN) on a crystal of SrTl2As2 relaxed with PBEsol.

The space group is I4/mmm, No. 139. The calculation puts the formation enthalpy at 0 K at -430.2 meV/atom. For the density of states at the Fermi level, the calculation gives 0.383 states/eV/atom.

Lattice parameters (Å, degrees): 4.453 4.453 7.645 106.93 106.93 90.00
Sites, in units of the cell vectors:
Tl (0.750, 0.250, 0.500)
Tl (0.250, 0.750, 0.500)
As (0.588, 0.588, 0.176)
As (0.412, 0.412, 0.824)
Sr (0.000, 0.000, 0.000)

Q: What is the formula in the second record?
A: SrTl2As2

Q: The highest formation enthalpy at 0 K belongs to which entry?
A: SrTl2As2